DFT (PBE) results for Pr2Zn15Pt2 after structural relaxation.

D(E_F) (states/eV per atom): 0.37
Crystal system: trigonal
Symmetry: R-3m, No. 166
Formation enthalpy at 0 K (eV/atom): -0.356

The structure in extended XYZ format:
```
19
Lattice="-0.6329 5.0668 -4.6000 -5.0935 -2.7552 -3.7012 -5.2140 3.3187 3.0056" Properties=species:S:1:pos:R:3 pbc="T T T"
Pr -3.7019 1.9052 -1.7919
Pr -7.2385 3.7252 -3.5038
Zn -0.3165 2.5334 -2.3000
Zn -2.6070 1.6594 1.5028
Zn -2.5467 -1.3776 -1.8506
Zn -5.1276 -1.0369 -1.8039
Zn -1.8948 2.8541 -4.3458
Zn -3.9181 3.8132 0.8540
Zn -3.8316 -0.5424 -3.9555
Zn -1.9289 4.5723 -2.4485
Zn -5.1799 1.6005 1.1083
Zn -6.8119 1.1498 -1.1637
Zn -4.5355 2.0184 -4.9430
Zn -4.5954 5.0365 -1.6104
Zn -4.1286 4.4806 -4.1320
Zn -6.4049 3.6119 -0.3527
Zn -6.3450 0.5938 -3.6853
Pt -1.2032 0.6192 -0.5824
Pt -9.7372 5.0111 -4.7133
```